## BeAlAu (PBE)

Data for a relaxed BeAlAu crystal.

M_tot (μB per cell): 0.0
Raw total energy (eV per atom): -3.55
Excess energy over the best structure of this formula in the dataset (meV/atom): 223

Geometry as CIF:
```
data_BeAlAu
_chemical_formula_sum 'Be1 Al1 Au1'
_symmetry_space_group_name_H-M 'P 3 m 1'
_symmetry_Int_Tables_number 156
_cell_length_a 2.8977
_cell_length_b 2.8977
_cell_length_c 6.0478
_cell_angle_alpha 90.00
_cell_angle_beta 90.00
_cell_angle_gamma 120.00
loop_
_symmetry_equiv_pos_as_xyz
'x,y,z'
'-y,x-y,z'
'-x+y,-x,z'
'-y,-x,z'
'-x+y,y,z'
'x,x-y,z'
loop_
_atom_site_label
_atom_site_type_symbol
_atom_site_fract_x
_atom_site_fract_y
_atom_site_fract_z
Be1 Be 0.0000 0.0000 0.0000
Al1 Al 0.3333 0.6667 0.3195
Au1 Au 0.6667 0.3333 0.6947
```